# PBE TaTiV4, optimized geometry
# * energy relative to the elements: -0.01 eV/atom
# * E: -225.06 eV for the cell shown
# * density: 8.0 Mg/m³
data_TaTiV4
_chemical_formula_sum 'Ta4 Ti4 V16'
_symmetry_space_group_name_H-M 'F -4 3 m'
_symmetry_Int_Tables_number 216
_symmetry_space_group_name_Hall 'F -4 2 3'
_cell_length_a 7.116
_cell_length_b 7.116
_cell_length_c 7.116
_cell_angle_alpha 90.00
_cell_angle_beta 90.00
_cell_angle_gamma 90.00
loop_
_atom_site_label
_atom_site_type_symbol
_atom_site_fract_x
_atom_site_fract_y
_atom_site_fract_z
_atom_site_occupancy
Ta1 Ta 0.000 0.000 0.000 1
Ti1 Ti 0.250 0.250 0.750 1
V1 V 0.125 0.125 0.375 1